[1]
Here is a relaxed LiEr3Ga3 crystal from Alexandria via LeMat-Bulk. Energies are from PBE.

Geometry as POSCAR:
```
LiEr3Ga3
1.0
4.294 0.000 0.647
2.120 5.351 0.502
0.160 0.013 13.511
Er Ga Li
6 6 2
Direct
0.603 0.717 0.077 Er
0.468 0.685 0.379 Er
0.741 0.740 0.778 Er
0.259 0.260 0.222 Er
0.532 0.315 0.621 Er
0.397 0.283 0.923 Er
0.888 0.150 0.075 Ga
0.031 0.168 0.769 Ga
0.875 0.697 0.552 Ga
0.969 0.832 0.231 Ga
0.125 0.303 0.448 Ga
0.112 0.850 0.925 Ga
0.242 0.920 0.596 Li
0.758 0.080 0.404 Li
```

Results
E_form, eV/atom: -0.506
E_tot, eV/atom: -4.0326

[2]
Here is a relaxed TbY2Pd crystal from Alexandria via LeMat-Bulk. Energies are from PBE.

Geometry as POSCAR:
```
TbY2Pd
1.0
-0.312 3.673 0.715
-3.956 -1.296 -4.947
-7.039 -1.785 6.096
Pd Y Tb
2 4 2
Direct
0.758 0.517 0.750 Pd
0.242 0.483 0.250 Pd
0.365 0.731 0.938 Y
0.635 0.269 0.062 Y
0.365 0.731 0.562 Y
0.635 0.269 0.438 Y
0.933 0.866 0.250 Tb
0.067 0.134 0.750 Tb
```

Results
E_form, eV/atom: -0.444
E_tot, eV/atom: -6.1313

Question: Among the records above, which one has the highest E_form?
Answer: TbY2Pd